Computed, not measured: a geometry-optimized Ba2ZnIn12Pt3 structure at the PBE-GGA level of DFT.

Cell lengths 8.781, 8.781, 8.781 Å; angles 69.78, 69.78, 69.78 degrees
Positions (direct):
1 In 0.889 0.283 0.283
2 In 0.357 0.868 0.868
3 In 0.132 0.643 0.132
4 In 0.283 0.889 0.283
5 In 0.717 0.111 0.717
6 In 0.132 0.132 0.643
7 In 0.868 0.357 0.868
8 In 0.111 0.717 0.717
9 In 0.643 0.132 0.132
10 In 0.868 0.868 0.357
11 In 0.283 0.283 0.889
12 In 0.717 0.717 0.111
13 Ba 0.602 0.602 0.602
14 Ba 0.398 0.398 0.398
15 Zn 0.000 0.000 0.000
16 Pt 0.000 0.000 0.500
17 Pt 0.500 0.000 0.000
18 Pt 0.000 0.500 0.000

Formation enthalpy at 0 K in meV per atom: -165
Mass density in kg/m3: 6638
Spin magnetization in Bohr magnetons per cell: 0.00

Computed, not measured: a geometry-optimized Ba2ZnInPt structure at the PBE-GGA level of DFT.

Cell lengths 6.127, 6.127, 4.912 Å; angles 90.00, 90.00, 90.00 degrees
Positions (direct):
1 Zn 0.000 0.000 0.500
2 Pt 0.000 0.000 0.000
3 Ba 0.000 0.500 0.000
4 Ba 0.500 0.000 0.000
5 In 0.500 0.500 0.500

Offset from the most stable computed form in eV/atom: 0.0000
Formation enthalpy at 0 K in meV per atom: -398
Mass density in kg/m3: 5854
Spin magnetization in Bohr magnetons per cell: 0.00

Computed, not measured: a geometry-optimized Ba2ZrInPt structure at the PBE-GGA level of DFT.

Cell lengths 6.406, 5.425, 6.406 Å; angles 90.00, 90.00, 90.00 degrees
Each line ends with the local moment (μB).
Positions (direct):
1 Ba 0.500 0.000 0.000  0.01
2 Ba 0.000 0.000 0.500  0.03
3 In 0.000 0.000 0.000  0.01
4 Pt 0.500 0.500 0.500  -0.06
5 Zr 0.000 0.500 0.000  0.87

Formation enthalpy at 0 K in meV per atom: 722
Mass density in kg/m3: 5040
Spin magnetization in Bohr magnetons per cell: 1.59

Computed, not measured: a geometry-optimized Ba2PuInSe5 structure at the PBE-GGA level of DFT.

Cell lengths 4.358, 9.850, 13.431 Å; angles 90.00, 90.00, 102.78 degrees
Each line ends with the local moment (μB).
Positions (direct):
1 Se 0.292 0.583 0.661  -0.08
2 Se 0.313 0.625 0.371  -0.06
3 Se 0.050 0.100 0.055  -0.02
4 Se 0.496 0.993 0.770  0.00
5 Se 0.644 0.288 0.504  -0.04
6 Se 0.687 0.375 0.871  -0.06
7 Se 0.708 0.417 0.161  -0.08
8 Se 0.504 0.007 0.270  0.00
9 Se 0.950 0.900 0.555  -0.02
10 Se 0.356 0.712 0.004  -0.04
11 Ba 0.870 0.740 0.819  0.00
12 Ba 0.883 0.765 0.183  0.00
13 Ba 0.117 0.235 0.683  0.00
14 Ba 0.130 0.260 0.319  0.00
15 In 0.554 0.108 0.942  0.01
16 In 0.446 0.892 0.442  0.01
17 Pu 0.208 0.416 0.020  5.11
18 Pu 0.792 0.584 0.520  5.11

ΔE_f (raw) in eV per atom: -1.491
Mass density in kg/m3: 6074
Spin magnetization in Bohr magnetons per cell: 9.97

Computed, not measured: a geometry-optimized Ba2PuInTe5 structure at the PBE-GGA level of DFT.

Cell lengths 4.629, 10.567, 14.226 Å; angles 90.00, 90.00, 102.65 degrees
Each line ends with the local moment (μB).
Positions (direct):
1 Te 0.950 0.901 0.559  -0.03
2 Te 0.707 0.413 0.165  -0.09
3 Te 0.691 0.381 0.866  -0.06
4 Te 0.050 0.099 0.059  -0.03
5 Te 0.309 0.619 0.366  -0.06
6 Te 0.293 0.587 0.665  -0.09
7 Te 0.502 0.004 0.267  -0.01
8 Te 0.498 0.996 0.767  -0.01
9 Te 0.644 0.289 0.504  -0.04
10 Te 0.356 0.711 0.004  -0.04
11 Ba 0.872 0.745 0.820  0.00
12 Ba 0.128 0.255 0.320  0.00
13 Ba 0.120 0.239 0.684  0.00
14 Ba 0.880 0.761 0.184  0.00
15 In 0.559 0.118 0.941  0.01
16 In 0.441 0.882 0.441  0.01
17 Pu 0.206 0.413 0.019  5.21
18 Pu 0.794 0.587 0.519  5.21

ΔE_f (raw) in eV per atom: -1.171
Mass density in kg/m3: 6220
Spin magnetization in Bohr magnetons per cell: 9.99

Computed, not measured: a geometry-optimized RbBa2In2 structure at the PBE-GGA level of DFT.

Cell lengths 6.667, 6.667, 7.240 Å; angles 62.59, 62.59, 90.00 degrees
Positions (direct):
1 Ba 0.250 0.750 0.500
2 Ba 0.750 0.250 0.500
3 In 0.373 0.373 0.254
4 In 0.627 0.627 0.746
5 Rb 0.000 0.000 0.000

Offset from the most stable computed form in eV/atom: 0.0673
Formation enthalpy at 0 K in meV per atom: -144
Mass density in kg/m3: 4010
Spin magnetization in Bohr magnetons per cell: 0.00

Computed, not measured: a geometry-optimized Rb3BaIn structure at the PBE-GGA level of DFT.

Cell lengths 7.207, 7.207, 7.207 Å; angles 90.00, 90.00, 90.00 degrees
Positions (direct):
1 In 0.000 0.000 0.000
2 Rb 0.500 0.000 0.000
3 Rb 0.000 0.000 0.500
4 Rb 0.000 0.500 0.000
5 Ba 0.500 0.500 0.500

Offset from the most stable computed form in eV/atom: 0.0000
Formation enthalpy at 0 K in meV per atom: 237
Mass density in kg/m3: 2256
Spin magnetization in Bohr magnetons per cell: 0.00

Computed, not measured: a geometry-optimized Rb3BaIn structure at the PBE-GGA level of DFT.

Cell lengths 8.117, 8.117, 8.117 Å; angles 90.00, 90.00, 90.00 degrees
Positions (direct):
1 Ba 0.000 0.000 0.000
2 Rb 0.500 0.000 0.000
3 Rb 0.000 0.000 0.500
4 Rb 0.000 0.500 0.000
5 In 0.500 0.500 0.500

Offset from the most stable computed form in eV/atom: 0.4808
Formation enthalpy at 0 K in meV per atom: 718
Mass density in kg/m3: 1579
Spin magnetization in Bohr magnetons per cell: 0.00

Computed, not measured: a geometry-optimized RbBa2In structure at the PBE-GGA level of DFT.

Cell lengths 5.691, 5.691, 13.634 Å; angles 77.95, 77.95, 90.00 degrees
Positions (direct):
1 Ba 0.875 0.903 0.750
2 Ba 0.097 0.625 0.250
3 Ba 0.375 0.347 0.750
4 Ba 0.653 0.125 0.250
5 Rb 0.500 0.500 0.000
6 Rb 0.250 0.750 0.500
7 In 0.000 0.000 0.000
8 In 0.750 0.250 0.500

Formation enthalpy at 0 K in meV per atom: 181
Mass density in kg/m3: 3739
Spin magnetization in Bohr magnetons per cell: 0.00

Computed, not measured: a geometry-optimized RbBaIn3 structure at the PBE-GGA level of DFT.

Cell lengths 6.194, 6.194, 6.194 Å; angles 90.00, 90.00, 90.00 degrees
Positions (direct):
1 In 0.000 0.000 0.500
2 In 0.500 0.000 0.000
3 In 0.000 0.500 0.000
4 Ba 0.500 0.500 0.500
5 Rb 0.000 0.000 0.000

Offset from the most stable computed form in eV/atom: 0.0724
Formation enthalpy at 0 K in meV per atom: 497
Mass density in kg/m3: 3964
Spin magnetization in Bohr magnetons per cell: 0.00

Computed, not measured: a geometry-optimized RbBa2In structure at the PBE-GGA level of DFT.

Cell lengths 4.577, 4.577, 13.492 Å; angles 80.23, 80.23, 60.00 degrees
Positions (direct):
1 In 0.000 0.000 0.000
2 Ba 0.727 0.727 0.819
3 Ba 0.273 0.273 0.181
4 Rb 0.500 0.500 0.500

Formation enthalpy at 0 K in meV per atom: -84
Mass density in kg/m3: 3286
Spin magnetization in Bohr magnetons per cell: 0.00

Computed, not measured: a geometry-optimized RbBaIn structure at the PBE-GGA level of DFT.

Cell lengths 4.404, 4.404, 8.749 Å; angles 104.58, 104.58, 90.00 degrees
Positions (direct):
1 In 0.318 0.318 0.636
2 Rb 0.971 0.971 0.942
3 Ba 0.711 0.711 0.422

Offset from the most stable computed form in eV/atom: 0.1229
Formation enthalpy at 0 K in meV per atom: -104
Mass density in kg/m3: 3536
Spin magnetization in Bohr magnetons per cell: 0.00

Computed, not measured: a geometry-optimized RbBa2In structure at the PBE-GGA level of DFT.

Cell lengths 4.848, 6.317, 6.317 Å; angles 90.00, 90.00, 90.00 degrees
Each line ends with the local moment (μB).
Positions (direct):
1 In 0.500 0.000 0.000  0.01
2 Ba 0.000 0.500 0.000  0.07
3 Ba 0.000 0.000 0.500  0.07
4 Rb 0.500 0.500 0.500  0.03

Formation enthalpy at 0 K in meV per atom: -2
Mass density in kg/m3: 4077
Spin magnetization in Bohr magnetons per cell: 0.74

Computed, not measured: a geometry-optimized RbBaIn3 structure at the PBE-GGA level of DFT.

Cell lengths 6.520, 6.520, 6.520 Å; angles 90.00, 90.00, 90.00 degrees
Positions (direct):
1 Ba 0.000 0.000 0.000
2 In 0.000 0.000 0.500
3 In 0.000 0.500 0.000
4 In 0.500 0.000 0.000
5 Rb 0.500 0.500 0.500

Offset from the most stable computed form in eV/atom: 0.0000
Formation enthalpy at 0 K in meV per atom: 425
Mass density in kg/m3: 3398
Spin magnetization in Bohr magnetons per cell: 0.00

Computed, not measured: a geometry-optimized Rb2BaIn9 structure at the PBE-GGA level of DFT.

Cell lengths 6.512, 6.512, 11.202 Å; angles 73.10, 73.10, 60.00 degrees
Positions (direct):
1 In 0.584 0.584 0.756
2 In 0.416 0.416 0.244
3 In 0.500 0.500 0.500
4 In 0.664 0.664 0.007
5 In 0.336 0.336 0.993
6 In 0.924 0.416 0.244
7 In 0.584 0.076 0.756
8 In 0.416 0.924 0.244
9 In 0.076 0.584 0.756
10 Ba 0.000 0.000 0.000
11 Rb 0.144 0.144 0.569
12 Rb 0.856 0.856 0.431

Formation enthalpy at 0 K in meV per atom: -165
Mass density in kg/m3: 5748
Spin magnetization in Bohr magnetons per cell: 0.00

Computed, not measured: a geometry-optimized RbBa2In2 structure at the PBE-GGA level of DFT.

Cell lengths 10.371, 10.371, 4.048 Å; angles 90.00, 90.00, 90.00 degrees
Positions (direct):
1 In 0.149 0.649 0.500
2 In 0.351 0.149 0.500
3 In 0.649 0.851 0.500
4 In 0.851 0.351 0.500
5 Ba 0.355 0.855 0.000
6 Ba 0.145 0.355 0.000
7 Ba 0.645 0.145 0.000
8 Ba 0.855 0.645 0.000
9 Rb 0.000 0.000 0.000
10 Rb 0.500 0.500 0.000

Offset from the most stable computed form in eV/atom: 0.0110
Formation enthalpy at 0 K in meV per atom: -201
Mass density in kg/m3: 4499
Spin magnetization in Bohr magnetons per cell: 0.00

Computed, not measured: a geometry-optimized RbBa2In structure at the PBE-GGA level of DFT.

Cell lengths 4.360, 4.360, 11.832 Å; angles 90.00, 90.00, 90.00 degrees
Positions (direct):
1 Rb 0.500 0.500 0.500
2 In 0.500 0.500 0.000
3 Ba 0.000 0.000 0.833
4 Ba 0.000 0.000 0.167

Formation enthalpy at 0 K in meV per atom: -202
Mass density in kg/m3: 3507
Spin magnetization in Bohr magnetons per cell: 0.00

Computed, not measured: a geometry-optimized RbBa2In structure at the PBE-GGA level of DFT.

Cell lengths 4.583, 4.583, 13.446 Å; angles 80.19, 80.19, 60.00 degrees
Positions (direct):
1 Ba 0.060 0.060 0.819
2 Ba 0.273 0.273 0.182
3 In 0.667 0.667 0.000
4 Rb 0.500 0.500 0.499

Formation enthalpy at 0 K in meV per atom: -85
Mass density in kg/m3: 3289
Spin magnetization in Bohr magnetons per cell: 0.00

Computed, not measured: a geometry-optimized RbBaIn structure at the PBE-GGA level of DFT.

Cell lengths 5.006, 5.167, 13.535 Å; angles 101.00, 90.00, 90.00 degrees
Positions (direct):
1 In 0.250 0.468 0.936
2 In 0.750 0.532 0.064
3 Ba 0.750 0.934 0.868
4 Ba 0.250 0.066 0.132
5 Rb 0.250 0.316 0.632
6 Rb 0.750 0.684 0.368

Offset from the most stable computed form in eV/atom: 0.0000
Formation enthalpy at 0 K in meV per atom: -227
Mass density in kg/m3: 3262
Spin magnetization in Bohr magnetons per cell: 0.00

Computed, not measured: a geometry-optimized RbBa2In2 structure at the PBE-GGA level of DFT.

Cell lengths 10.098, 10.098, 4.443 Å; angles 90.00, 90.00, 90.00 degrees
Positions (direct):
1 In 0.612 0.112 0.000
2 In 0.388 0.888 0.000
3 In 0.888 0.612 0.000
4 In 0.112 0.388 0.000
5 Ba 0.825 0.325 0.500
6 Ba 0.175 0.675 0.500
7 Ba 0.325 0.175 0.500
8 Ba 0.675 0.825 0.500
9 Rb 0.000 0.000 0.000
10 Rb 0.500 0.500 0.000

Offset from the most stable computed form in eV/atom: 0.0000
Formation enthalpy at 0 K in meV per atom: -212
Mass density in kg/m3: 4323
Spin magnetization in Bohr magnetons per cell: 0.00

Computed, not measured: a geometry-optimized RbBa2In2 structure at the PBE-GGA level of DFT.

Cell lengths 4.488, 4.488, 13.795 Å; angles 80.64, 80.64, 90.00 degrees
Positions (direct):
1 In 0.750 0.250 0.500
2 In 0.250 0.750 0.500
3 Ba 0.643 0.643 0.713
4 Ba 0.357 0.357 0.287
5 Rb 0.000 0.000 0.000

Offset from the most stable computed form in eV/atom: 0.1735
Formation enthalpy at 0 K in meV per atom: -38
Mass density in kg/m3: 3621
Spin magnetization in Bohr magnetons per cell: 0.00

Computed, not measured: a geometry-optimized RbBa5In4 structure at the PBE-GGA level of DFT.

Cell lengths 4.330, 4.330, 24.420 Å; angles 90.00, 90.00, 90.00 degrees
Positions (direct):
1 Ba 0.500 0.500 0.672
2 Ba 0.500 0.500 0.500
3 Ba 0.500 0.500 0.840
4 Ba 0.500 0.500 0.328
5 Ba 0.500 0.500 0.160
6 Rb 0.000 0.000 0.000
7 In 0.000 0.000 0.587
8 In 0.000 0.000 0.240
9 In 0.000 0.000 0.413
10 In 0.000 0.000 0.760

Formation enthalpy at 0 K in meV per atom: -314
Mass density in kg/m3: 4465
Spin magnetization in Bohr magnetons per cell: 0.00

Computed, not measured: a geometry-optimized RbBaInS3 structure at the PBE-GGA level of DFT.

Cell lengths 5.270, 8.822, 8.987 Å; angles 104.21, 90.00, 107.38 degrees
Positions (direct):
1 Rb 0.351 0.703 0.931
2 Rb 0.649 0.297 0.069
3 S 0.156 0.312 0.346
4 S 0.145 0.291 0.801
5 S 0.855 0.709 0.199
6 S 0.844 0.688 0.654
7 S 0.503 0.007 0.273
8 S 0.497 0.993 0.727
9 Ba 0.649 0.298 0.577
10 Ba 0.351 0.702 0.423
11 In 0.005 0.009 0.266
12 In 0.995 0.991 0.734

ΔE_f (raw) in eV per atom: -1.149
Mass density in kg/m3: 3739
Spin magnetization in Bohr magnetons per cell: 0.00

Computed, not measured: a geometry-optimized RbBaInSe3 structure at the PBE-GGA level of DFT.

Cell lengths 5.513, 9.188, 9.276 Å; angles 103.88, 90.00, 107.46 degrees
Positions (direct):
1 In 0.005 0.011 0.264
2 In 0.995 0.989 0.736
3 Se 0.498 0.995 0.732
4 Se 0.158 0.317 0.345
5 Se 0.502 0.005 0.268
6 Se 0.146 0.293 0.799
7 Se 0.854 0.707 0.201
8 Se 0.842 0.683 0.655
9 Ba 0.647 0.294 0.574
10 Ba 0.353 0.706 0.426
11 Rb 0.649 0.297 0.068
12 Rb 0.351 0.703 0.932

ΔE_f (raw) in eV per atom: -1.117
Mass density in kg/m3: 4398
Spin magnetization in Bohr magnetons per cell: 0.00

Computed, not measured: a geometry-optimized Rb2BaInSi structure at the PBE-GGA level of DFT.

Cell lengths 6.889, 5.288, 6.889 Å; angles 90.00, 90.00, 90.00 degrees
Positions (direct):
1 Ba 0.500 0.500 0.500
2 In 0.000 0.500 0.000
3 Si 0.000 0.000 0.000
4 Rb 0.500 0.000 0.000
5 Rb 0.000 0.000 0.500

ΔE_f (raw) in eV per atom: 0.308
Mass density in kg/m3: 2985
Spin magnetization in Bohr magnetons per cell: 0.00